Run w
Compound: Pr2YPb
Source: the Alexandria database
Functional: PBE-GGA
Structure: optimized geometry

Results
**Density**: 7.1 Mg/m³
**Volume**: 134 Å³/f.u.
**N(E_F)**: 4.7 states/eV/f.u.

```
Pr2YPb
1.0
3.694 0.000 0.000
-1.847 3.199 0.000
0.000 0.000 34.139
Pr Y Pb
6 3 3
Direct
0.000 0.000 0.000
0.000 0.000 0.172
0.333 0.667 0.667
0.333 0.667 0.838
0.667 0.333 0.333
0.667 0.333 0.505
0.000 0.000 0.752
0.333 0.667 0.419
0.667 0.333 0.086
0.000 0.000 0.586
0.333 0.667 0.253
0.667 0.333 0.919
```

Run x
Compound: Pr2YPb
Source: the Alexandria database
Functional: PBE-GGA
Structure: optimized geometry

Results
**Density**: 7.7 Mg/m³
**Volume**: 124 Å³/f.u.
**N(E_F)**: 4.3 states/eV/f.u.

```
Pr2YPb
1.0
4.936 0.000 0.000
0.000 4.936 0.000
0.000 0.000 5.088
Pr Y Pb
2 1 1
Direct
0.000 0.500 0.000
0.500 0.000 0.000
0.000 0.000 0.500
0.500 0.500 0.500
```

Run y
Compound: Pr2YPb
Source: the Alexandria database
Functional: PBE-GGA
Structure: optimized geometry

Results
**Density**: 6.8 Mg/m³
**Volume**: 142 Å³/f.u.
**N(E_F)**: 4.3 states/eV/f.u.

```
Pr2YPb
1.0
3.627 0.000 0.000
-1.814 3.141 0.000
0.000 0.000 37.265
Pr Y Pb
6 3 3
Direct
0.000 0.000 0.088
0.000 0.000 0.912
0.333 0.667 0.579
0.333 0.667 0.755
0.667 0.333 0.245
0.667 0.333 0.421
0.000 0.000 0.500
0.333 0.667 0.167
0.667 0.333 0.833
0.000 0.000 0.000
0.333 0.667 0.667
0.667 0.333 0.333
```

Q: Which of them is the most stable? A: run x.

Run w
Compound: PrY2Pb
Source: the Alexandria database
Functional: PBE-GGA
Structure: optimized geometry

Results
**Density**: 6.4 Mg/m³
**Volume**: 135 Å³/f.u.
**N(E_F)**: 4.2 states/eV/f.u.

```
PrY2Pb
1.0
3.587 0.000 0.000
-1.794 3.107 0.000
0.000 0.000 36.450
Pr Y Pb
3 6 3
Direct
0.000 0.000 0.000
0.333 0.667 0.667
0.667 0.333 0.333
0.000 0.000 0.413
0.000 0.000 0.587
0.333 0.667 0.080
0.333 0.667 0.253
0.667 0.333 0.747
0.667 0.333 0.920
0.000 0.000 0.500
0.333 0.667 0.167
0.667 0.333 0.833
```

Run x
Compound: PrY2Pb
Source: the Alexandria database
Functional: PBE-GGA
Structure: optimized geometry

Results
**Density**: 6.9 Mg/m³
**Volume**: 126 Å³/f.u.
**N(E_F)**: 6.3 states/eV/f.u.

```
PrY2Pb
1.0
3.872 0.000 0.000
0.000 3.872 0.000
0.000 0.000 8.413
Pr Y Pb
1 2 1
Direct
0.000 0.000 0.000
0.500 0.500 0.281
0.500 0.500 0.719
0.000 0.000 0.500
```

Q: Which of them is the most stable? A: run x.

Run w
Compound: PrY2Pb
Source: the Alexandria database
Functional: PBE-GGA
Structure: optimized geometry

Results
**Density**: 6.8 Mg/m³
**Volume**: 128 Å³/f.u.
**N(E_F)**: 3.6 states/eV/f.u.

```
PrY2Pb
1.0
3.647 0.000 0.000
-1.824 3.159 0.000
0.000 0.000 33.329
Pr Y Pb
3 6 3
Direct
0.000 0.000 0.000
0.333 0.667 0.667
0.667 0.333 0.333
0.000 0.000 0.244
0.000 0.000 0.422
0.333 0.667 0.089
0.333 0.667 0.911
0.667 0.333 0.578
0.667 0.333 0.755
0.000 0.000 0.833
0.333 0.667 0.500
0.667 0.333 0.167
```

Run x
Compound: PrY2Pb
Source: the Alexandria database
Functional: PBE-GGA
Structure: optimized geometry

Results
**Density**: 7.3 Mg/m³
**Volume**: 120 Å³/f.u.
**N(E_F)**: 5.9 states/eV/f.u.

```
PrY2Pb
1.0
4.970 0.000 0.000
0.000 4.970 0.000
0.000 0.000 4.869
Pr Y Pb
1 2 1
Direct
0.000 0.000 0.000
0.000 0.500 0.500
0.500 0.000 0.500
0.500 0.500 0.000
```

Q: Which of them is the most stable? A: run x.

Run w
Compound: Pr2Zn3Pb
Source: the Alexandria database
Functional: PBE-GGA
Structure: optimized geometry

Results
**Density**: 7.7 Mg/m³
**Volume**: 147 Å³/f.u.
**N(E_F)**: 4.4 states/eV/f.u.

```
Pr2Zn3Pb
1.0
3.884 0.000 0.000
0.000 4.652 0.000
0.000 0.000 8.128
Pr Zn Pb
2 3 1
Direct
0.000 0.000 0.000
0.000 0.500 0.476
0.500 0.000 0.315
0.500 0.000 0.628
0.500 0.500 0.172
0.500 0.500 0.822
```

Run x
Compound: Pr2Zn3Pb
Source: the Alexandria database
Functional: PBE-GGA
Structure: optimized geometry

Results
**Density**: 7.8 Mg/m³
**Volume**: 146 Å³/f.u.
**N(E_F)**: 4.6 states/eV/f.u.

```
Pr2Zn3Pb
1.0
0.000 4.680 8.097
3.866 0.000 8.097
3.866 4.680 0.000
Pr Zn Pb
4 6 2
Direct
0.243 0.757 0.757
0.250 0.250 0.250
0.750 0.750 0.750
0.757 0.243 0.243
0.160 0.160 0.840
0.162 0.680 0.320
0.320 0.838 0.162
0.680 0.162 0.838
0.838 0.320 0.680
0.840 0.840 0.160
0.335 0.335 0.665
0.665 0.665 0.335
```

Q: Which of them is the most stable? A: run x.

Run w
Compound: Pt4Pb5
Source: the Alexandria database
Functional: PBE-GGA
Structure: optimized geometry

Results
**Density**: 14.7 Mg/m³
**Volume**: 205 Å³/f.u.
**N(E_F)**: 5.2 states/eV/f.u.

```
Pt4Pb5
1.0
-4.523 4.523 2.510
4.523 -4.523 2.510
4.523 4.523 -2.510
Pt Pb
4 5
Direct
0.000 0.350 0.350
0.000 0.650 0.650
0.350 0.000 0.350
0.650 0.000 0.650
0.000 0.000 0.000
0.321 0.321 0.641
0.321 0.679 0.000
0.679 0.321 0.000
0.679 0.679 0.359
```

Run x
Compound: Pt4Pb5
Source: the Alexandria database
Functional: PBE-GGA
Structure: optimized geometry

Results
**Density**: 14.2 Mg/m³
**Volume**: 212 Å³/f.u.
**N(E_F)**: 5.8 states/eV/f.u.

```
Pt4Pb5
1.0
8.229 0.000 0.000
-4.115 7.127 0.000
0.000 0.000 7.231
Pt Pb
8 10
Direct
0.000 0.000 0.000
0.000 0.000 0.500
0.000 0.397 0.250
0.000 0.603 0.750
0.397 0.000 0.250
0.397 0.397 0.750
0.603 0.000 0.750
0.603 0.603 0.250
0.000 0.264 0.750
0.000 0.736 0.250
0.264 0.000 0.750
0.264 0.264 0.250
0.333 0.667 0.000
0.333 0.667 0.500
0.667 0.333 0.000
0.667 0.333 0.500
0.736 0.000 0.250
0.736 0.736 0.750
```

Q: Which of them is the most stable? A: run x.

Run w
Compound: PtPb3
Source: the Alexandria database
Functional: PBE-GGA
Structure: optimized geometry

Results
**Density**: 11.9 Mg/m³
**Volume**: 114 Å³/f.u.
**N(E_F)**: 1.9 states/eV/f.u.

```
PtPb3
1.0
6.466 0.000 0.000
-3.233 5.599 0.000
0.000 0.000 6.313
Pt Pb
2 6
Direct
0.333 0.667 0.000
0.667 0.333 0.000
0.000 0.318 0.725
0.000 0.682 0.275
0.318 0.000 0.725
0.318 0.318 0.275
0.682 0.000 0.275
0.682 0.682 0.725
```

Run x
Compound: PtPb3
Source: the Alexandria database
Functional: PBE-GGA
Structure: optimized geometry

Results
**Density**: 12.1 Mg/m³
**Volume**: 112 Å³/f.u.
**N(E_F)**: 1.6 states/eV/f.u.

```
PtPb3
1.0
3.769 0.000 0.000
-1.885 3.264 0.000
0.000 0.000 9.130
Pt Pb
1 3
Direct
0.000 0.000 0.000
0.000 0.000 0.500
0.667 0.333 0.200
0.667 0.333 0.800
```

Run y
Compound: PtPb3
Source: the Alexandria database
Functional: PBE-GGA
Structure: optimized geometry

Results
**Density**: 12.9 Mg/m³
**Volume**: 105 Å³/f.u.
**N(E_F)**: 3.6 states/eV/f.u.

```
PtPb3
1.0
5.949 0.000 0.000
0.000 5.949 0.000
0.000 0.000 5.949
Pt Pb
2 6
Direct
0.000 0.000 0.000
0.500 0.500 0.500
0.000 0.250 0.500
0.000 0.750 0.500
0.250 0.500 0.000
0.500 0.000 0.250
0.500 0.000 0.750
0.750 0.500 0.000
```

Q: Which of them is the most stable? A: run w.

Run w
Compound: PtPb3
Source: the Alexandria database
Functional: PBE-GGA
Structure: optimized geometry

Results
**Density**: 12.6 Mg/m³
**Volume**: 107 Å³/f.u.
**N(E_F)**: 2.2 states/eV/f.u.

```
PtPb3
1.0
3.485 0.000 0.000
0.000 3.347 0.000
-0.024 0.000 9.213
Pt Pb
1 3
Direct
0.000 0.000 0.000
0.000 0.000 0.500
0.499 0.500 0.808
0.501 0.500 0.192
```

Run x
Compound: PtPb3
Source: the Alexandria database
Functional: PBE-GGA
Structure: optimized geometry

Results
**Density**: 12.4 Mg/m³
**Volume**: 109 Å³/f.u.
**N(E_F)**: 2.5 states/eV/f.u.

```
PtPb3
1.0
3.552 0.000 0.000
0.000 5.012 0.000
0.000 0.000 12.255
Pt Pb
2 6
Direct
0.000 0.000 0.000
0.500 0.500 0.500
0.000 0.000 0.500
0.000 0.500 0.310
0.000 0.500 0.690
0.500 0.000 0.190
0.500 0.000 0.810
0.500 0.500 0.000
```

Q: Which of them is the most stable? A: run w.

Run w
Compound: PtPb3
Source: the Alexandria database
Functional: PBE-GGA
Structure: optimized geometry

Results
**Density**: 12.0 Mg/m³
**Volume**: 113 Å³/f.u.
**N(E_F)**: 3.1 states/eV/f.u.

```
PtPb3
1.0
3.812 0.000 0.000
-1.906 3.302 0.000
0.000 0.000 26.852
Pt Pb
3 9
Direct
0.000 0.000 0.000
0.333 0.667 0.667
0.667 0.333 0.333
0.000 0.000 0.267
0.000 0.000 0.500
0.000 0.000 0.733
0.333 0.667 0.167
0.333 0.667 0.399
0.333 0.667 0.934
0.667 0.333 0.066
0.667 0.333 0.601
0.667 0.333 0.833
```

Run x
Compound: PtPb3
Source: the Alexandria database
Functional: PBE-GGA
Structure: optimized geometry

Results
**Density**: 13.0 Mg/m³
**Volume**: 104 Å³/f.u.
**N(E_F)**: 0.9 states/eV/f.u.

```
PtPb3
1.0
10.494 0.000 0.000
-5.247 9.088 0.000
0.000 0.000 3.271
Pt Pb
3 9
Direct
0.000 0.000 0.000
0.333 0.667 0.667
0.667 0.333 0.333
0.000 0.500 0.000
0.167 0.333 0.333
0.167 0.833 0.333
0.333 0.167 0.667
0.500 0.000 0.000
0.500 0.500 0.000
0.667 0.833 0.333
0.833 0.167 0.667
0.833 0.667 0.667
```

Q: Which of them is the most stable? A: run w.

Run w
Compound: Pt3Pb2
Source: the Alexandria database
Functional: PBE-GGA
Structure: optimized geometry

Results
**Density**: 15.3 Mg/m³
**Volume**: 108 Å³/f.u.
**N(E_F)**: 2.6 states/eV/f.u.

```
Pt3Pb2
1.0
4.558 0.000 0.000
-2.279 3.948 0.000
0.000 0.000 6.014
Pt Pb
3 2
Direct
0.000 0.000 0.000
0.333 0.667 0.172
0.667 0.333 0.828
0.333 0.667 0.683
0.667 0.333 0.317
```

Run x
Compound: Pt3Pb2
Source: the Alexandria database
Functional: PBE-GGA
Structure: optimized geometry

Results
**Density**: 15.7 Mg/m³
**Volume**: 106 Å³/f.u.
**N(E_F)**: 3.3 states/eV/f.u.

```
Pt3Pb2
1.0
0.000 8.488 2.550
4.884 0.000 2.550
4.884 8.488 0.000
Pt Pb
6 4
Direct
0.000 0.000 0.000
0.250 0.250 0.250
0.446 0.894 0.333
0.894 0.446 0.327
0.917 0.923 0.804
0.923 0.917 0.356
0.343 0.555 0.755
0.495 0.903 0.907
0.555 0.343 0.347
0.903 0.495 0.695
```

Run y
Compound: Pt3Pb2
Source: the Alexandria database
Functional: PBE-GGA
Structure: optimized geometry

Results
**Density**: 15.3 Mg/m³
**Volume**: 108 Å³/f.u.
**N(E_F)**: 2.5 states/eV/f.u.

```
Pt3Pb2
1.0
4.099 0.000 0.000
-2.050 3.550 0.000
0.000 0.000 22.328
Pt Pb
9 6
Direct
0.000 0.000 0.000
0.000 0.000 0.193
0.000 0.000 0.807
0.333 0.667 0.474
0.333 0.667 0.667
0.333 0.667 0.859
0.667 0.333 0.141
0.667 0.333 0.333
0.667 0.333 0.526
0.000 0.000 0.404
0.000 0.000 0.596
0.333 0.667 0.071
0.333 0.667 0.262
0.667 0.333 0.738
0.667 0.333 0.929
```

Q: Which of them is the most stable? A: run w.

Run w
Compound: PuPtPb2
Source: the Alexandria database
Functional: PBE-GGA
Structure: optimized geometry

Results
**Density**: 12.6 Mg/m³
**Volume**: 113 Å³/f.u.
**N(E_F)**: 10.7 states/eV/f.u.

```
PuPtPb2
1.0
3.521 0.000 0.000
-1.760 3.049 0.000
0.000 0.000 31.472
Pu Pt Pb
3 3 6
Direct
0.000 0.000 0.000
0.333 0.667 0.667
0.667 0.333 0.333
0.000 0.000 0.500
0.333 0.667 0.167
0.667 0.333 0.833
0.000 0.000 0.104
0.000 0.000 0.896
0.333 0.667 0.563
0.333 0.667 0.770
0.667 0.333 0.230
0.667 0.333 0.437
```

Run x
Compound: PuPtPb2
Source: the Alexandria database
Functional: PBE-GGA
Structure: optimized geometry

Results
**Density**: 14.5 Mg/m³
**Volume**: 98 Å³/f.u.
**N(E_F)**: 13.0 states/eV/f.u.

```
PuPtPb2
1.0
4.573 0.000 0.000
0.000 4.573 0.000
0.000 0.000 4.672
Pu Pt Pb
1 1 2
Direct
0.000 0.000 0.000
0.500 0.500 0.000
0.000 0.500 0.500
0.500 0.000 0.500
```

Q: Which of them is the most stable? A: run x.

Run w
Compound: RbPt2Pb4
Source: the Alexandria database
Functional: PBE-GGA
Structure: optimized geometry

Results
**Density**: 11.6 Mg/m³
**Volume**: 186 Å³/f.u.
**N(E_F)**: 3.6 states/eV/f.u.

```
RbPt2Pb4
1.0
20.107 0.000 0.000
0.000 4.836 0.000
0.000 0.000 7.663
Rb Pt Pb
4 8 16
Direct
0.141 0.250 0.004
0.359 0.750 0.504
0.641 0.250 0.496
0.859 0.750 0.996
0.035 0.750 0.255
0.213 0.250 0.513
0.287 0.750 0.013
0.465 0.250 0.755
0.535 0.750 0.245
0.713 0.250 0.987
0.787 0.750 0.487
0.965 0.250 0.745
0.032 0.750 0.858
0.069 0.250 0.483
0.183 0.750 0.301
0.195 0.750 0.719
0.305 0.250 0.219
0.317 0.250 0.801
0.431 0.750 0.983
0.468 0.250 0.358
0.532 0.750 0.642
0.569 0.250 0.017
0.683 0.750 0.199
0.695 0.750 0.781
0.805 0.250 0.281
0.817 0.250 0.699
0.931 0.750 0.517
0.968 0.250 0.142
```

Run x
Compound: RbPt2Pb4
Source: the Alexandria database
Functional: PBE-GGA
Structure: optimized geometry

Results
**Density**: 10.9 Mg/m³
**Volume**: 198 Å³/f.u.
**N(E_F)**: 2.4 states/eV/f.u.

```
RbPt2Pb4
1.0
5.264 0.000 0.000
0.000 14.439 0.000
0.000 0.000 5.216
Rb Pt Pb
2 4 8
Direct
0.000 0.000 0.000
0.500 0.500 0.000
0.000 0.408 0.500
0.000 0.592 0.500
0.500 0.092 0.500
0.500 0.908 0.500
0.000 0.176 0.500
0.000 0.325 0.000
0.000 0.675 0.000
0.000 0.824 0.500
0.500 0.175 0.000
0.500 0.324 0.500
0.500 0.676 0.500
0.500 0.825 0.000
```

Q: Which of them is the most stable? A: run w.